(1)
PmScAgIr: relaxed, GGA-PBE.

a = 6.9528 Å, b = 6.9528 Å, c = 6.9528 Å
α = 90.00°, β = 90.00°, γ = 90.00°
Last column: nearest neighbours and their distance in Å.
Space group F-43m (No. 216)
Inequivalent atoms, fractional coordinates:
Pm  0.0000  0.0000  0.0000 x4  4 Ag 3.01, 4 Ir 3.01
Sc  0.0000  0.0000  0.5000 x4  4 Ir 3.01, 4 Ag 3.01
Ag  0.2500  0.2500  0.2500 x4  4 Pm 3.01, 4 Sc 3.01
Ir  0.2500  0.2500  0.7500 x4  4 Pm 3.01, 4 Sc 3.01

Values from the calculation:
E_form	-0.492	eV/atom

***

(2)
Al2MoOs: relaxed, GGA-PBE.

a = 2.8393 Å, b = 2.8393 Å, c = 25.7793 Å
α = 90.00°, β = 90.00°, γ = 120.00°
Last column: nearest neighbours and their distance in Å.
Space group R-3m (No. 166, hexagonal axes)
Inequivalent atoms, fractional coordinates:
Al  0.0000  0.0000  0.2464 x6  3 Os 2.63, 3 Mo 2.78, 6 Al 2.84
Mo  0.0000  0.0000  0.0000 x3  6 Al 2.78, 6 Mo 2.84
Os  0.0000  0.0000  0.5000 x3  6 Al 2.63, 6 Os 2.84

Values from the calculation:
E_form	-0.088	eV/atom
polymorph energy (0 for the lowest one)	0.236	eV per atom

***

(3)
PuMn2AlH8: relaxed, GGA-PBE.

a = 4.3105 Å, b = 4.3105 Å, c = 5.7716 Å
α = 90.00°, β = 90.00°, γ = 120.00°
Last column: nearest neighbours and their distance in Å.
Space group P-3 (No. 147)
Inequivalent atoms, fractional coordinates:
Pu  0.0000  0.0000  0.0000 x1  12 H 2.44-2.57
Mn  0.3333  0.6667  0.6004 x2  4 H 1.61-1.65
Al  0.0000  0.0000  0.5000 x1  6 H 1.88
H  0.0502  0.6629  0.3224 x6  1 Mn 1.61
H  0.3333  0.6667  0.8865 x2  1 Mn 1.65

Values from the calculation:
final energy	-5.26	eV per atom

***

(4)
HfSc2Cu2: relaxed, GGA-PBE.

a = 3.3263 Å, b = 3.3263 Å, c = 17.8398 Å
α = 90.00°, β = 90.00°, γ = 90.00°
Last column: nearest neighbours and their distance in Å.
Space group I4/mmm (No. 139)
Inequivalent atoms, fractional coordinates:
Hf  0.0000  0.0000  0.0000 x2  8 Sc 3.18, 4 Hf 3.33
Sc  0.0000  0.0000  0.3796 x4  4 Cu 2.85, 4 Hf 3.18
Cu  0.0000  0.5000  0.2500 x4  4 Cu 2.35

Values from the calculation:
E_form	0.090	eV/atom
polymorph energy (0 for the lowest one)	0.219	eV per atom

***

(5)
Ca2MnPd9: relaxed, GGA-PBE.

a = 4.0753 Å, b = 4.0753 Å, c = 12.1104 Å
α = 90.00°, β = 90.00°, γ = 90.00°
Last column: nearest neighbours and their distance in Å.
Space group P4/mmm (No. 123)
Inequivalent atoms, fractional coordinates:
Ca  0.0000  0.0000  0.1722 x2  12 Pd 2.88-2.95
Mn  0.0000  0.0000  0.5000 x1  12 Pd 2.74-2.88
Pd  0.0000  0.5000  0.0000 x2  8 Pd 2.88-2.93, 4 Ca 2.92
Pd  0.0000  0.5000  0.3485 x4  2 Mn 2.74, 8 Pd 2.74-2.94, 2 Ca 2.95
Pd  0.5000  0.5000  0.1733 x2  4 Ca 2.88, 8 Pd 2.93-2.94
Pd  0.5000  0.5000  0.5000 x1  8 Pd 2.74, 4 Mn 2.88

Values from the calculation:
E_form	-0.400	eV/atom

***

(6)
Ba3DyY3Te8: relaxed, GGA-PBE.

a = 9.0006 Å, b = 9.0006 Å, c = 23.9825 Å
α = 90.00°, β = 90.00°, γ = 120.00°
Last column: nearest neighbours and their distance in Å.
Space group R-3m (No. 166, hexagonal axes)
Inequivalent atoms, fractional coordinates:
Ba  0.0000  0.5000  0.0000 x9  6 Te 3.45-3.46
Dy  0.0000  0.0000  0.5000 x3  6 Te 3.14
Y  0.0000  0.5000  0.5000 x9  6 Te 3.11-3.12
Te  0.0000  0.0000  0.2388 x6  3 Y 3.12, 3 Ba 3.45
Te  0.0035  0.5017  0.7613 x18  2 Y 3.11, 1 Dy 3.14, 2 Ba 3.46

Values from the calculation:
formation energy (no corrections)	-1545	meV per atom

***

(7)
Ho5Te4Pb: relaxed, GGA-PBE.

a = 9.7673 Å, b = 9.7673 Å, c = 6.1530 Å
α = 90.00°, β = 90.00°, γ = 90.00°
Last column: nearest neighbours and their distance in Å.
Space group I4/m (No. 87)
Inequivalent atoms, fractional coordinates:
Ho  0.0000  0.0000  0.0000 x2  2 Pb 3.08, 4 Te 3.10
Ho  0.1008  0.2943  0.5000 x8  1 Pb 3.04, 5 Te 3.08-3.11
Te  0.0977  0.3024  0.0000 x8  6 Ho 3.08-3.11
Pb  0.0000  0.0000  0.5000 x2  6 Ho 3.04-3.08

Values from the calculation:
formation energy (no corrections)	-1139	meV per atom
polymorph energy (0 for the lowest one)	0.000	eV per atom

***

(8)
K3TbCu2Cl9: relaxed, GGA-PBE.

a = 7.1518 Å, b = 7.1518 Å, c = 8.9132 Å
α = 90.00°, β = 90.00°, γ = 120.00°
Last column: nearest neighbours and their distance in Å.
Space group P-3m1 (No. 164)
Inequivalent atoms, fractional coordinates:
K  0.0000  0.0000  0.0000 x1  12 Cl 3.58-3.60
K  0.3333  0.6667  0.7021 x2  9 Cl 3.36-3.58
Tb  0.0000  0.0000  0.5000 x1  6 Cl 2.63
Cu  0.3333  0.6667  0.1416 x2  6 Cl 2.42-2.59
Cl  0.0000  0.5000  0.0000 x3  2 Cu 2.42
Cl  0.1714  0.3429  0.3255 x6  1 Cu 2.59, 1 Tb 2.63

Values from the calculation:
formation energy (no corrections)	-1537	meV per atom

***

(9)
Ta2BeCrNi: relaxed, GGA-PBE.

a = 4.5735 Å, b = 4.5735 Å, c = 4.1737 Å
α = 90.00°, β = 90.00°, γ = 90.00°
Last column: nearest neighbours and their distance in Å.
Space group P4/mmm (No. 123)
Inequivalent atoms, fractional coordinates:
Ta  0.0000  0.5000  0.0000 x2  2 Ni 2.29
Be  0.0000  0.0000  0.5000 x1  8 Ta 3.10, 4 Cr 3.23
Cr  0.5000  0.5000  0.5000 x1  2 Ni 2.09
Ni  0.5000  0.5000  0.0000 x1  2 Cr 2.09, 4 Ta 2.29

Values from the calculation:
E_form	1.233	eV/atom

***

(10)
CaYSn: relaxed, GGA-PBE.

a = 5.0904 Å, b = 5.0904 Å, c = 7.6199 Å
α = 90.00°, β = 90.00°, γ = 90.00°
Last column: nearest neighbours and their distance in Å.
Space group P4/nmm (No. 129, origin choice 2)
Inequivalent atoms, fractional coordinates:
Ca  0.2500  0.2500  0.2165 x2  4 Sn 3.34, 5 Y 3.57-3.61
Y  0.2500  0.2500  0.7479 x2  4 Sn 3.17
Sn  0.2500  0.7500  0.5000 x2  4 Y 3.17, 4 Ca 3.34

Values from the calculation:
E_form	-0.249	eV/atom

***

(11)
LaHo4Er7: relaxed, GGA-PBE.

a = 12.0513 Å, b = 5.8432 Å, c = 12.5205 Å
α = 90.00°, β = 117.89°, γ = 90.00°
Last column: nearest neighbours and their distance in Å.
Space group C2/m (No. 12)
Inequivalent atoms, fractional coordinates:
La  0.0000  0.0000  0.0000 x2  4 Er 2.92-3.12
Ho  0.1282  0.5000  0.7744 x4  7 Er 3.35-3.54, 2 Ho 3.70
Ho  0.2448  0.5000  0.3141 x4  5 Er 3.24-3.62
Er  0.0000  0.5000  0.0000 x2  2 La 2.92, 2 Er 3.15
Er  0.0560  0.0000  0.3375 x4  4 Er 3.29-3.47, 3 Ho 3.54-3.62
Er  0.1359  0.5000  0.5065 x4  4 Er 3.20-3.47, 5 Ho 3.24-3.55
Er  0.2106  0.0000  0.9219 x4  1 La 3.12, 4 Er 3.15-3.40, 4 Ho 3.24-3.37

Values from the calculation:
E_form	0.278	eV/atom

***

(12)
LiB6H21N5: relaxed, GGA-PBE.

a = 9.4177 Å, b = 8.1140 Å, c = 16.7021 Å
α = 90.00°, β = 111.37°, γ = 90.00°
Last column: nearest neighbours and their distance in Å.
Space group P2_1/c (No. 14)
Inequivalent atoms, fractional coordinates:
Li  0.0479  0.1070  0.1446 x4  4 N 2.09-2.12
B  0.3288  0.0944  0.4722 x4  1 H 1.21
B  0.3520  0.5902  0.9213 x4  1 H 1.20
B  0.3670  0.5932  0.0311 x4  1 H 1.21
B  0.4354  0.0961  0.4030 x4  1 H 1.21
B  0.4601  0.0916  0.5808 x4  1 H 1.21
B  0.4980  0.7053  0.9985 x4  1 H 1.22
H  0.0020  0.2279  0.7650 x4  1 N 1.02
H  0.0283  0.6096  0.9312 x4  1 N 1.02
H  0.0875  0.1056  0.3133 x4  1 N 1.02
H  0.0979  0.6030  0.2448 x4  1 N 1.03
H  0.1326  0.1514  0.5562 x4  1 N 1.02
H  0.1358  0.0833  0.6485 x4  1 N 1.03
H  0.1357  0.5029  0.5100 x4  1 N 1.02
H  0.1941  0.0953  0.9430 x4  1 N 1.02
H  0.2059  0.1603  0.4519 x4  1 B 1.21
H  0.2298  0.6016  0.4603 x4  1 N 1.03
H  0.2463  0.6541  0.8655 x4  1 B 1.20
H  0.2456  0.6569  0.6513 x4  1 N 1.02
H  0.2721  0.6588  0.0530 x4  1 B 1.21
H  0.2877  0.5484  0.7397 x4  1 N 1.03
H  0.3313  0.0204  0.1600 x4  1 N 1.02
H  0.3601  0.0808  0.8042 x4  1 N 1.02
H  0.3741  0.6211  0.3123 x4  1 N 1.02
H  0.3844  0.5271  0.2270 x4  1 N 1.02
H  0.3894  0.1646  0.3343 x4  1 B 1.21
H  0.4317  0.1582  0.6377 x4  1 B 1.21
H  0.4974  0.6448  0.4973 x4  1 B 1.22
N  0.0063  0.1473  0.2576 x4  3 H 1.02-1.03
N  0.0774  0.1606  0.5987 x4  3 H 1.02-1.03
N  0.1470  0.5140  0.4516 x4  3 H 1.02-1.03
N  0.2474  0.5394  0.6739 x4  3 H 1.02-1.03
N  0.3297  0.5266  0.2699 x4  3 H 1.02

Values from the calculation:
final energy	-5.05	eV per atom

***

Number 1: V 336.1 Å³/cell. Number 2: V 180.0 Å³/cell. Number 3: V 92.9 Å³/cell. Number 4: V 197.4 Å³/cell. Number 5: V 201.1 Å³/cell. Number 6: V 1682.6 Å³/cell. Number 7: V 587.0 Å³/cell. Number 8: V 394.8 Å³/cell. Number 9: V 87.3 Å³/cell. Number 10: V 197.4 Å³/cell. Number 11: V 779.3 Å³/cell. Number 12: V 1188.5 Å³/cell.